A plane-wave DFT calculation with GGA-PBE was carried out for crystalline Ac2ScAs3Pd4 at its relaxed geometry.

Raw total energy, eV per atom: -5.880

Cell lengths 4.3611, 4.3611, 11.2317 Å; angles 90.00, 90.00, 90.00 degrees
With the nearest neighbours (Å) after each atom.
Space group P-4m2 (No. 115)
Asymmetric unit:
Ac  0.0000  0.5000  0.2258 (multiplicity 2)  4 As 3.26, 8 Pd 3.35-3.42
Sc  0.0000  0.0000  0.5000 (multiplicity 1)  4 Pd 2.70
As  0.0000  0.5000  0.8694 (multiplicity 2)  5 Pd 2.56-2.63
As  0.5000  0.5000  0.5000 (multiplicity 1)  4 Pd 2.70
Pd  0.0000  0.0000  0.0000 (multiplicity 1)  4 As 2.63
Pd  0.0000  0.5000  0.6416 (multiplicity 2)  3 As 2.56-2.70, 2 Sc 2.70
Pd  0.5000  0.5000  0.0000 (multiplicity 1)  4 As 2.63